(1)
Computed, not measured: a geometry-optimized NdTeBrO3 structure at the PBE level of DFT.

a = 3.9261 Å, b = 3.9261 Å, c = 28.6397 Å
α = 90.00°, β = 90.00°, γ = 90.00°
Closest atoms and distances in Å follow each position.
Positions (direct):
Nd 0.2500 0.2500 0.0433  4 O 2.32
Nd 0.2500 0.2500 0.7088  12 O 2.54-2.79
Nd 0.7500 0.7500 0.2912  12 O 2.54-2.79
Nd 0.7500 0.7500 0.9567  4 O 2.32
Te 0.2500 0.2500 0.2114  5 O 2.00-2.02
Te 0.2500 0.2500 0.3804  4 O 2.18
Te 0.7500 0.7500 0.6196  4 O 2.18
Te 0.7500 0.7500 0.7886  5 O 2.00-2.02
Br 0.2500 0.2500 0.5584  4 Te 3.28, 4 O 3.33
Br 0.2500 0.2500 0.8981  4 Nd 3.24, 4 O 3.52
Br 0.7500 0.7500 0.1019  4 Nd 3.24, 4 O 3.52
Br 0.7500 0.7500 0.4416  4 Te 3.28, 4 O 3.33
O 0.2500 0.2500 0.2811  1 Te 2.00
O 0.2500 0.7500 0.0000  4 Nd 2.32
O 0.2500 0.7500 0.2286  2 Te 2.02
O 0.2500 0.7500 0.3477  2 Te 2.18
O 0.2500 0.7500 0.6523  2 Te 2.18
O 0.2500 0.7500 0.7714  2 Te 2.02
O 0.7500 0.2500 0.0000  4 Nd 2.32
O 0.7500 0.2500 0.2286  2 Te 2.02
O 0.7500 0.2500 0.3477  2 Te 2.18
O 0.7500 0.2500 0.6523  2 Te 2.18
O 0.7500 0.2500 0.7714  2 Te 2.02
O 0.7500 0.7500 0.7189  1 Te 2.00

Results
The value obtained for the raw total energy is -5.9558 eV per atom. As for the space group: No. 129. The energy relative to the elements, uncorrected comes out at -1.880 eV/atom.

(2)
Computed, not measured: a geometry-optimized NdUBrO4 structure at the PBE level of DFT.

a = 7.1562 Å, b = 7.1562 Å, c = 6.9090 Å
α = 108.57°, β = 108.57°, γ = 60.97°
Closest atoms and distances in Å follow each position.
Positions (direct):
Nd 0.2272 0.2272 0.0934  6 O 2.35-2.55
Nd 0.7728 0.7728 0.9066  6 O 2.35-2.55
U 0.3758 0.3758 0.7658  3 O 1.90-2.03
U 0.6242 0.6242 0.2342  3 O 1.90-2.03
Br 0.0298 0.0298 0.2651  2 Nd 3.08-3.22
Br 0.9702 0.9702 0.7349  2 Nd 3.08-3.22
O 0.0788 0.4542 0.8147  1 U 2.03
O 0.3368 0.3368 0.4725  1 U 1.90
O 0.4316 0.4316 0.0979  2 U 2.14-2.21
O 0.4542 0.0788 0.8147  1 U 2.03
O 0.5458 0.9212 0.1853  1 U 2.03
O 0.5684 0.5684 0.9021  2 U 2.14-2.21
O 0.6632 0.6632 0.5275  1 U 1.90
O 0.9212 0.5458 0.1853  1 U 2.03

Results
The value obtained for the raw total energy is -8.1822 eV per atom. As for the space group: No. 12. The energy relative to the elements, uncorrected comes out at -2.816 eV/atom.

(3)
Computed, not measured: a geometry-optimized NdOsBr structure at the PBE level of DFT.

a = 11.8121 Å, b = 11.8121 Å, c = 11.8121 Å
α = 20.64°, β = 20.64°, γ = 20.64°
Closest atoms and distances in Å follow each position.
Positions (direct):
Nd 0.0603 0.0603 0.0603  3 Br 3.09, 6 Os 3.14-3.30
Nd 0.9397 0.9397 0.9397  3 Br 3.09, 6 Os 3.14-3.30
Os 0.3369 0.3369 0.3369  3 Os 2.46
Os 0.6631 0.6631 0.6631  3 Os 2.46
Br 0.2187 0.2187 0.2187  3 Nd 3.09
Br 0.7813 0.7813 0.7813  3 Nd 3.09

Results
The value obtained for the raw total energy is -6.8397 eV per atom. The value obtained for the relative energy among the computed polymorphs is 0 meV/atom. As for the space group: No. 166. The energy relative to the elements, uncorrected comes out at -0.950 eV/atom.

(4)
Computed, not measured: a geometry-optimized Nd5Os2Br2 structure at the PBE level of DFT.

a = 9.0378 Å, b = 9.0378 Å, c = 8.0675 Å
α = 90.00°, β = 90.00°, γ = 53.11°
Closest atoms and distances in Å follow each position.
Positions (direct):
Nd 0.0000 0.0000 0.0000  4 Os 3.11-3.12, 2 Br 3.43
Nd 0.0454 0.7341 0.6535  3 Os 2.94-2.98
Nd 0.2341 0.5454 0.1535  3 Os 2.94-2.98
Nd 0.2659 0.9546 0.6535  3 Os 2.94-2.98
Nd 0.4546 0.7659 0.1535  3 Os 2.94-2.98
Nd 0.5000 0.5000 0.5000  4 Os 3.11-3.12, 2 Br 3.43
Nd 0.5454 0.2341 0.8465  3 Os 2.94-2.98
Nd 0.7341 0.0454 0.3465  3 Os 2.94-2.98
Nd 0.7659 0.4546 0.8465  3 Os 2.94-2.98
Nd 0.9546 0.2659 0.3465  3 Os 2.94-2.98
Os 0.1402 0.8598 0.3595  8 Nd 2.94-3.12, 1 Os 3.20
Os 0.3598 0.6402 0.8595  8 Nd 2.94-3.12, 1 Os 3.20
Os 0.6402 0.3598 0.1405  8 Nd 2.94-3.12, 1 Os 3.20
Os 0.8598 0.1402 0.6405  8 Nd 2.94-3.12, 1 Os 3.20
Br 0.2121 0.2121 0.0000  7 Nd 3.37-3.48
Br 0.2879 0.2879 0.5000  7 Nd 3.37-3.48
Br 0.7121 0.7121 0.5000  7 Nd 3.37-3.48
Br 0.7879 0.7879 0.0000  7 Nd 3.37-3.48

Results
The value obtained for the raw total energy is -6.1107 eV per atom. As for the space group: No. 64. The energy relative to the elements, uncorrected comes out at -0.595 eV/atom.

(5)
Computed, not measured: a geometry-optimized Nd4OsBr5 structure at the PBE level of DFT.

a = 9.6722 Å, b = 9.6722 Å, c = 8.9720 Å
α = 104.36°, β = 104.36°, γ = 24.95°
Closest atoms and distances in Å follow each position.
Positions (direct):
Nd 0.0010 0.0010 0.2226  2 Os 2.89, 2 Br 3.06-3.16
Nd 0.3530 0.3530 0.9166  1 Os 2.69
Nd 0.6470 0.6470 0.0834  1 Os 2.69
Nd 0.9990 0.9990 0.7774  2 Os 2.89, 2 Br 3.06-3.16
Os 0.5000 0.5000 0.0000  6 Nd 2.69-2.89
Br 0.1683 0.1683 0.3339  3 Nd 3.02-3.06
Br 0.1719 0.1719 0.8495  4 Nd 3.08-3.32
Br 0.5000 0.5000 0.5000  4 Nd 3.25
Br 0.8281 0.8281 0.1505  4 Nd 3.08-3.32
Br 0.8317 0.8317 0.6661  3 Nd 3.02-3.06

Results
The value obtained for the raw total energy is -5.2099 eV per atom. As for the space group: No. 12. The energy relative to the elements, uncorrected comes out at -1.343 eV/atom.

(6)
Computed, not measured: a geometry-optimized Nd3OsBr3 structure at the PBE level of DFT.

a = 8.7775 Å, b = 4.3093 Å, c = 12.2177 Å
α = 90.00°, β = 91.23°, γ = 90.00°
Closest atoms and distances in Å follow each position.
Positions (direct):
Nd 0.0989 0.2500 0.3274  1 Os 2.82, 4 Br 2.99-3.09
Nd 0.1420 0.2500 0.8669  3 Os 2.81-2.93
Nd 0.2754 0.7500 0.1010  2 Os 2.88, 2 Br 3.10-3.16
Nd 0.7246 0.2500 0.8990  2 Os 2.88, 2 Br 3.10-3.16
Nd 0.8580 0.7500 0.1331  3 Os 2.81-2.93
Nd 0.9011 0.7500 0.6726  1 Os 2.82, 4 Br 2.99-3.09
Os 0.0572 0.2500 0.0976  6 Nd 2.81-2.93
Os 0.9428 0.7500 0.9024  6 Nd 2.81-2.93
Br 0.1311 0.2500 0.6024  4 Nd 3.09-3.37
Br 0.3337 0.7500 0.3520  3 Nd 2.99-3.10
Br 0.4340 0.7500 0.8709  5 Nd 3.16-3.35
Br 0.5660 0.2500 0.1291  5 Nd 3.16-3.35
Br 0.6663 0.2500 0.6480  3 Nd 2.99-3.10
Br 0.8689 0.7500 0.3976  4 Nd 3.09-3.37

Results
The value obtained for the raw total energy is -5.5608 eV per atom. As for the space group: No. 11. The energy relative to the elements, uncorrected comes out at -1.196 eV/atom.

(7)
Computed, not measured: a geometry-optimized Nd2OsBr structure at the PBE level of DFT.

a = 8.1493 Å, b = 8.1493 Å, c = 8.1493 Å
α = 29.47°, β = 29.47°, γ = 29.47°
Closest atoms and distances in Å follow each position.
Positions (direct):
Nd 0.2322 0.2322 0.2322  3 Os 2.84
Nd 0.7678 0.7678 0.7678  3 Os 2.84
Os 0.5000 0.5000 0.5000  6 Nd 2.84
Br 0.0000 0.0000 0.0000  6 Nd 3.36

Results
The value obtained for the raw total energy is -6.2205 eV per atom. The value obtained for the relative energy among the computed polymorphs is 29 meV/atom. As for the space group: No. 166. The energy relative to the elements, uncorrected comes out at -0.611 eV/atom.

(8)
Computed, not measured: a geometry-optimized NdOsBr structure at the PBE level of DFT.

a = 4.2523 Å, b = 4.2523 Å, c = 11.7805 Å
α = 100.50°, β = 100.50°, γ = 60.03°
Closest atoms and distances in Å follow each position.
Positions (direct):
Nd 0.0000 0.0000 0.0000  3 Br 3.10, 6 Os 3.21
Nd 0.1209 0.1209 0.3589  3 Br 3.10, 6 Os 3.21
Os 0.3938 0.3938 0.1795  3 Os 2.46
Os 0.7273 0.7273 0.1794  3 Os 2.46
Br 0.6111 0.6111 0.8357  3 Nd 3.10
Br 0.8427 0.8427 0.5233  3 Nd 3.10

Results
The value obtained for the raw total energy is -6.8276 eV per atom. The value obtained for the relative energy among the computed polymorphs is 12 meV/atom. As for the space group: No. 8. The energy relative to the elements, uncorrected comes out at -0.937 eV/atom.

(9)
Computed, not measured: a geometry-optimized Nd3OsBr structure at the PBE level of DFT.

a = 3.9145 Å, b = 9.5964 Å, c = 8.4215 Å
α = 90.00°, β = 90.00°, γ = 90.00°
Closest atoms and distances in Å follow each position.
Positions (direct):
Nd 0.2500 0.0736 0.1540  3 Os 3.00-3.28
Nd 0.2500 0.2500 0.7402  2 Os 2.77
Nd 0.2500 0.4264 0.1540  3 Os 3.00-3.28
Nd 0.7500 0.5736 0.8460  3 Os 3.00-3.28
Nd 0.7500 0.7500 0.2598  2 Os 2.77
Nd 0.7500 0.9264 0.8460  3 Os 3.00-3.28
Os 0.2500 0.7500 0.0267  6 Nd 2.77-3.00
Os 0.7500 0.2500 0.9733  6 Nd 2.77-3.00
Br 0.2500 0.7500 0.5662  6 Nd 3.24-3.50
Br 0.7500 0.2500 0.4338  6 Nd 3.24-3.50

Results
The value obtained for the raw total energy is -5.9322 eV per atom. The value obtained for the relative energy among the computed polymorphs is 3 meV/atom. As for the space group: No. 59. The energy relative to the elements, uncorrected comes out at -0.491 eV/atom.

(10)
Computed, not measured: a geometry-optimized NdOsBr structure at the PBE level of DFT.

a = 6.4243 Å, b = 6.4243 Å, c = 6.9943 Å
α = 96.38°, β = 96.38°, γ = 34.78°
Closest atoms and distances in Å follow each position.
Positions (direct):
Nd 0.1439 0.1439 0.1809  4 Os 2.86-3.20, 1 Br 3.06
Nd 0.8561 0.8561 0.8191  4 Os 2.86-3.20, 1 Br 3.06
Os 0.4341 0.4341 0.1065  1 Os 2.32, 1 Br 2.59
Os 0.5659 0.5659 0.8935  1 Os 2.32, 1 Br 2.59
Br 0.3623 0.3623 0.4407  1 Os 2.59
Br 0.6377 0.6377 0.5593  1 Os 2.59

Results
The value obtained for the raw total energy is -6.1626 eV per atom. The value obtained for the relative energy among the computed polymorphs is 677 meV/atom. As for the space group: No. 12. The energy relative to the elements, uncorrected comes out at -0.272 eV/atom.